KScBP2HO9 | Alexandria via LeMat-Bulk | GGA-PBEsol | optimized geometry; D(E_F) = 0.000 states/eV/cell; total DFT energy (no corrections) = -0.5598 Ry/atom; mass density = 2.79 g/cm3
1.0
5.280 -0.009 -0.010
0.470 8.395 -0.057
1.449 0.117 8.093
K Sc B P H O
2 2 2 4 2 18
Direct
0.718 0.323 0.120
0.282 0.677 0.880
0.285 0.196 0.796
0.715 0.804 0.204
0.894 0.727 0.566
0.106 0.273 0.434
0.788 0.947 0.808
0.212 0.053 0.192
0.809 0.425 0.702
0.191 0.575 0.298
0.616 0.889 0.532
0.384 0.111 0.468
0.561 0.364 0.801
0.439 0.636 0.199
0.724 0.806 0.463
0.276 0.194 0.537
0.449 0.998 0.271
0.551 0.002 0.729
0.036 0.404 0.795
0.964 0.596 0.205
0.024 0.157 0.324
0.976 0.843 0.676
0.059 0.916 0.151
0.941 0.084 0.849
0.129 0.658 0.469
0.871 0.342 0.531
0.299 0.161 0.042
0.701 0.839 0.958
0.255 0.395 0.329
0.745 0.605 0.671